1.
A plane-wave DFT calculation with PBE was carried out for a relaxed structure of NaLiCaPb.

Geometry as POSCAR:
```
NaLiCaPb
1.0
-4.459 0.370 2.841
0.011 -1.318 5.134
-0.478 3.762 3.703
Pb Na Ca Li
1 1 1 1
Direct
0.750 0.750 0.750
0.250 0.250 0.250
0.500 0.500 0.500
0.000 0.000 0.000
```

Output
Formation energy   -316 meV per atom
Calculated density   4.4 g/cm3
Spin magnetization   0.0 μB per formula unit
Crystal system   cubic
N(E_F)   1.4 states/eV/cell

2.
A plane-wave DFT calculation with PBE was carried out for a relaxed structure of NaLiCaPd.

Geometry as POSCAR:
```
NaLiCaPd
1.0
-1.596 -2.612 3.959
3.023 -3.342 2.177
1.898 0.925 4.538
Na Ca Pd Li
1 1 1 1
Direct
0.250 0.250 0.250
0.500 0.500 0.500
0.750 0.750 0.750
0.000 0.000 0.000
```

Output
Formation energy   -202 meV per atom
Calculated density   3.3 g/cm3
Spin magnetization   0.0 μB per formula unit
Crystal system   cubic
N(E_F)   2.2 states/eV/cell

3.
A plane-wave DFT calculation with PBE was carried out for a relaxed structure of NaLiCaPr.

Geometry as POSCAR:
```
NaLiCaPr
1.0
-4.111 -3.858 0.875
1.258 -5.564 -0.023
-0.132 -2.974 4.866
Pr Na Ca Li
1 1 1 1
Direct
0.500 0.500 0.500
0.250 0.250 0.250
0.000 0.000 0.000
0.750 0.750 0.750
```

Output
Formation energy   194 meV per atom
Calculated density   2.7 g/cm3
Spin magnetization   0.0 μB per formula unit
Crystal system   cubic
N(E_F)   5.2 states/eV/cell

4.
A plane-wave DFT calculation with PBE was carried out for a relaxed structure of NaLiCaPt.

Geometry as POSCAR:
```
NaLiCaPt
1.0
-3.340 0.014 -3.608
-1.622 -4.250 -1.866
-4.600 -1.485 0.901
Na Ca Pt Li
1 1 1 1
Direct
0.250 0.250 0.250
0.000 0.000 0.000
0.750 0.750 0.750
0.500 0.500 0.500
```

Output
Formation energy   -360 meV per atom
Calculated density   5.2 g/cm3
Spin magnetization   0.0 μB per formula unit
Crystal system   cubic
N(E_F)   1.0 states/eV/cell

5.
A plane-wave DFT calculation with PBE was carried out for a relaxed structure of NaLiCa2Pt.

Geometry as POSCAR:
```
NaLiCa2Pt
1.0
5.599 0.000 0.000
0.000 5.599 0.000
0.000 0.000 5.031
Na Ca Pt Li
1 2 1 1
Direct
0.500 0.500 0.500
0.000 0.500 0.000
0.500 0.000 0.000
0.000 0.000 0.000
0.000 0.000 0.500
```

Output
Formation energy   -346 meV per atom
Calculated density   3.2 g/cm3
Spin magnetization   0.0 μB per formula unit
Crystal system   tetragonal
N(E_F)   1.7 states/eV/cell
E above lowest polymorph   0.0000 eV/atom

6.
A plane-wave DFT calculation with PBE was carried out for a relaxed structure of NaLiCa2Pt.

Geometry as POSCAR:
```
NaLiCa2Pt
1.0
5.529 0.000 0.000
0.000 5.529 0.000
0.000 0.000 5.602
Na Ca Pt Li
1 2 1 1
Direct
0.000 0.000 0.500
0.000 0.500 0.000
0.500 0.000 0.000
0.000 0.000 0.000
0.500 0.500 0.500
```

Output
Formation energy   -245 meV per atom
Calculated density   3.0 g/cm3
Spin magnetization   0.0 μB per formula unit
Crystal system   tetragonal
N(E_F)   2.7 states/eV/cell
E above lowest polymorph   0.1018 eV/atom